Record 1
The following is a GGA-PBE calculation of a relaxed YThHgPb crystal, from Alexandria.

Values from the calculation:
The value obtained for the calculated volume is 28.36 A^3/atom. As for the electronic total energy: -19.18 eV/cell. As for the space-group type: No. 216. As for the theoretical density: 10.7 g/cm³. The total moment is 0.0 μB/f.u.

The structure in POSCAR format:
```
YThHgPb
1.0
5.4334 0.0000 0.0000
2.7167 4.7055 0.0000
2.7167 1.5685 4.4363
Hg Th Pb Y
1 1 1 1
Cartesian
2.7167 1.5685 1.1091
5.4334 3.1370 2.2182
8.1501 4.7055 3.3273
0.0000 0.0000 0.0000
```

***

Record 2
The following is a GGA-PBE calculation of a relaxed ThZnHgPb crystal, from Alexandria.

Values from the calculation:
The value obtained for the calculated volume is 25.44 A^3/atom. As for the electronic total energy: -13.06 eV/cell. As for the space-group type: No. 216. As for the theoretical density: 11.5 g/cm³. The total moment is 0.0 μB/f.u.

The structure in POSCAR format:
```
ThZnHgPb
1.0
-2.3462 -1.2777 -4.5085
-1.6044 -4.9218 -0.8161
-5.1213 -1.1096 -0.0662
Zn Th Hg Pb
1 1 1 1
Cartesian
-2.2680 -1.8273 -1.3477
0.0000 0.0000 0.0000
-6.8039 -5.4818 -4.0431
-4.5360 -3.6546 -2.6954
```

***

Record 3
The following is a GGA-PBE calculation of a relaxed ThZrHgPb crystal, from Alexandria.

Values from the calculation:
The value obtained for the calculated volume is 26.38 A^3/atom. As for the electronic total energy: -20.33 eV/cell. As for the space-group type: No. 216. As for the theoretical density: 11.5 g/cm³. The total moment is 1.2 μB/f.u.

The structure in POSCAR format:
```
ThZrHgPb
1.0
-3.2467 -0.7491 4.1270
0.0835 -4.6001 2.6393
1.9687 -0.1987 4.9213
Pb Zr Th Hg
1 1 1 1
Cartesian
-0.5973 -2.7739 5.8438
-0.2986 -1.3870 2.9219
-0.8959 -4.1609 8.7657
0.0000 0.0000 0.0000
```

***

Record 4
The following is a GGA-PBE calculation of a relaxed Ti2HgPb crystal, from Alexandria.

Values from the calculation:
The value obtained for the calculated volume is 21.69 A^3/atom. Its offset from the most stable computed form is 102 kJ/mol of formula units. As for the electronic total energy: -37.20 eV/cell. As for the space-group type: No. 122. As for the theoretical density: 9.6 g/cm³. The total moment is 0.0 μB/f.u.

The structure in POSCAR format:
```
Ti2HgPb
1.0
-4.6590 2.2884 -5.5680
1.2673 -6.5101 -3.7360
-4.0107 -3.3749 -3.2346
Ti Pb Hg
4 2 2
Cartesian
-5.9838 -6.1838 -10.5432
-4.2718 -4.1558 -5.9387
-0.8226 -4.6120 -3.8751
-3.7265 -0.2418 -4.7202
0.0000 0.0000 0.0000
-5.1828 -1.5987 -6.7273
-2.2196 -5.9980 -5.8113
-1.6958 -2.1109 -4.6520
```